1.
Density functional theory data (PBE-GGA) for CoOs after structural relaxation.

Structure (POSCAR):
```
CoOs
1.0
4.950 0.002 0.007
2.342 4.361 -0.007
-3.138 -3.031 2.339
Co Os
2 2
direct
0.014 0.014 0.000 Co
0.236 0.736 0.500 Co
0.761 0.261 0.500 Os
0.489 0.489 0.000 Os
```

Calculated values
Density of states at the Fermi level in states/eV per cell: 6.19
Calculated formation energy in eV per atom: 0.313
Mass density in g/cm³: 16.4
Volume in Å³ per cell: 50.4
M_tot in μB per formula unit: 1.50

---

2.
Density functional theory data (PBE-GGA) for SrTm3Hg4 after structural relaxation.

Structure (POSCAR):
```
SrTm3Hg4
1.0
5.267 0.000 0.000
0.000 7.574 0.000
0.000 0.000 10.534
Hg Tm Sr
8 6 2
direct
0.999 0.767 0.750 Hg
0.500 0.233 0.500 Hg
0.500 0.767 0.500 Hg
0.500 0.233 0.000 Hg
0.999 0.233 0.750 Hg
0.001 0.767 0.250 Hg
0.001 0.233 0.250 Hg
0.500 0.767 0.000 Hg
0.500 0.500 0.750 Tm
0.000 0.000 0.500 Tm
0.000 0.000 0.000 Tm
0.500 0.500 0.250 Tm
0.500 0.000 0.250 Tm
0.500 0.000 0.750 Tm
0.000 0.500 0.500 Sr
0.000 0.500 0.000 Sr
```

Calculated values
Density of states at the Fermi level in states/eV per cell: 7.80
Calculated formation energy in eV per atom: -0.460
Mass density in g/cm³: 11.0
Volume in Å³ per cell: 420.2
M_tot in μB per formula unit: 0.00